Compound: La2ScAu
Source: Alexandria
Functional: PBE
Structure: optimized geometry

Results
Its calculated formation energy is -0.174 eV per atom. As for the space-group type: F-43m. The size of the total moment is 2.1 μB/f.u. Its uncorrected energy is -5.04 eV/atom. As for the mass density: 8.27 g/cm3. For the distance to the lowest polymorph of the same formula, the calculation gives 0.198 eV per atom.

Cell: 5.284 5.284 5.284 Å, 60.00 60.00 60.00°
Fractional coordinates of all 4 atoms:
La1 0.000 0.000 0.000
La2 0.250 0.250 0.250
Au1 0.500 0.500 0.500
Sc1 0.750 0.750 0.750